A relaxed structure of NaHI2O, computed with PBE.

abc: 6.187 6.187 4.439
angles: 90.00 90.00 90.00
Atoms (fractional coordinates):
O1 0.000 0.000 0.500
I1 0.000 0.500 0.000
I2 0.500 0.000 0.000
H1 0.500 0.500 0.500
Na1 0.000 0.000 0.000

Properties
Energy relative to the lowest polymorph listed for this composition = 636 meV/atom

---

A relaxed structure of CuHgPdS2, computed with PBE.

abc: 3.708 7.795 9.687
angles: 113.72 90.00 90.00
Atoms (fractional coordinates):
Pd1 0.500 0.250 0.000
Pd2 0.500 0.750 0.000
Cu1 0.000 0.500 0.000
Cu2 0.000 0.000 0.000
S1 0.506 0.419 0.838
S2 0.494 0.581 0.162
S3 0.506 0.081 0.162
S4 0.494 0.919 0.838
Hg1 0.261 0.750 0.500
Hg2 0.739 0.250 0.500

Properties
Raw formation energy = -90 meV per atom